[1]
Compound: HgPt2Au
Source: Alexandria via LeMat-Bulk
Functional: PBE-GGA
Structure: relaxed

Cell lengths 2.8869, 4.0913, 5.9230 Å; angles 90.00, 90.00, 90.00 degrees
With the nearest neighbours (Å) after each atom.
Element x y z (fractional)
Pt 0.5000 0.5000 0.2465  6 Pt 2.88-2.89, 4 Au 2.89, 2 Hg 2.90-3.03
Au 0.0000 0.0000 0.4885  6 Pt 2.85-3.07, 2 Au 2.89, 4 Hg 2.97
Hg 0.5000 0.5000 0.7573  2 Hg 2.89, 6 Pt 2.90-3.03, 4 Au 2.97
Pt 0.0000 0.0000 0.0077  2 Au 2.85-3.07, 6 Pt 2.88-2.89, 4 Hg 2.91

**Final energy**: -15.40 eV for the cell shown
**Crystal system**: orthorhombic
**Total moment**: 0.00 μB per formula unit

=====

[2]
Compound: HgPtAu
Source: Alexandria via LeMat-Bulk
Functional: PBE-GGA
Structure: relaxed

Cell lengths 4.6218, 4.6218, 2.9673 Å; angles 90.00, 90.00, 120.00 degrees
With the nearest neighbours (Å) after each atom.
Element x y z (fractional)
Pt 0.3333 0.6667 0.6662  3 Hg 2.84, 3 Au 2.84, 2 Pt 2.97
Hg 0.6667 0.3333 0.3355  3 Pt 2.84, 3 Au 2.85, 2 Hg 2.97
Au 0.0000 0.0000 0.9983  3 Pt 2.84, 3 Hg 2.85, 2 Au 2.97

**Final energy**: -9.32 eV for the cell shown
**Crystal system**: trigonal
**Total moment**: 0.00 μB per formula unit
**ΔE to the lowest computed polymorph**: 0.333 eV/f.u.

=====

| no. | energy relative to the elements (eV per formula unit) |
| --- | --- |
| 1 | 0.26 |
| 2 | 0.30 |